Record 1
# TmSc2TiN4

A geometry-optimized TmSc2TiN4 structure (PBE, Alexandria via LeMat-Bulk).

It has space group P2/m (No. 10), with a = 5.525 Å, b = 3.196 Å, c = 5.543 Å, α = 90.00°, β = 109.23° and γ = 90.00°. The asymmetric unit holds Tm at (0.000, 0.000, 0.000), Sc at (0.500, 0.000, 0.500), Sc at (0.500, 0.500, 0.000), Ti at (0.000, 0.500, 0.500), N at (0.244, 0.000, 0.736) and N at (0.251, 0.500, 0.265).


Record 2
# ScTiW2N

A geometry-optimized ScTiW2N structure (PBE, Alexandria via LeMat-Bulk).

It has space group P4/mmm (No. 123), with a = 4.128 Å, b = 4.128 Å, c = 4.443 Å, α = 90.00°, β = 90.00° and γ = 90.00°. The asymmetric unit holds Sc at (0.000, 0.000, 0.000), Ti at (0.500, 0.500, 0.000), W at (0.000, 0.500, 0.500) and N at (0.000, 0.000, 0.500).


Record 3
# ZrScTi2N4

A geometry-optimized ZrScTi2N4 structure (PBE, Alexandria via LeMat-Bulk).

It has space group P2/m (No. 10), with a = 5.398 Å, b = 3.112 Å, c = 5.408 Å, α = 90.00°, β = 109.33° and γ = 90.00°. The asymmetric unit holds Zr at (0.000, 0.000, 0.000), Sc at (0.000, 0.500, 0.500), Ti at (0.500, 0.000, 0.500), Ti at (0.500, 0.500, 0.000), N at (0.264, 0.000, 0.752) and N at (0.265, 0.500, 0.258).


Record 4
# ZrSc2Ti3N6

A geometry-optimized ZrSc2Ti3N6 structure (PBE, Alexandria via LeMat-Bulk).

It has space group C2/m (No. 12), with a = 5.384 Å, b = 9.320 Å, c = 5.393 Å, α = 90.00°, β = 109.51° and γ = 90.00°. The asymmetric unit holds Zr at (0.000, 0.000, 0.000), Sc at (0.000, 0.333, 0.000), Ti at (0.000, 0.171, 0.500), Ti at (0.000, 0.500, 0.500), N at (0.244, 0.331, 0.737) and N at (0.248, 0.000, 0.734).


Record 5
# Zr2ScTiN

A geometry-optimized Zr2ScTiN structure (PBE, Alexandria via LeMat-Bulk).

The calculation puts the offset from the most stable computed form at 0 meV per atom.

It has space group P4/mmm (No. 123), with a = 4.643 Å, b = 4.643 Å, c = 4.135 Å, α = 90.00°, β = 90.00° and γ = 90.00°. The asymmetric unit holds Zr at (0.000, 0.500, 0.000), Sc at (0.000, 0.000, 0.500), Ti at (0.500, 0.500, 0.500) and N at (0.500, 0.500, 0.000).


Record 6
# ZrScTi2N

A geometry-optimized ZrScTi2N structure (PBE, Alexandria via LeMat-Bulk).

The calculation puts the offset from the most stable computed form at 0 meV per atom.

It has space group P4/mmm (No. 123), with a = 4.220 Å, b = 4.220 Å, c = 4.646 Å, α = 90.00°, β = 90.00° and γ = 90.00°. The asymmetric unit holds Zr at (0.000, 0.000, 0.000), Sc at (0.500, 0.500, 0.000), Ti at (0.000, 0.500, 0.500) and N at (0.000, 0.000, 0.500).


Record 7
# Zr2ScTiN4

A geometry-optimized Zr2ScTiN4 structure (PBE, Alexandria via LeMat-Bulk).

It has space group P2/m (No. 10), with a = 5.511 Å, b = 3.181 Å, c = 5.525 Å, α = 90.00°, β = 109.34° and γ = 90.00°. The asymmetric unit holds Zr at (0.000, 0.000, 0.000), Zr at (0.000, 0.500, 0.500), Sc at (0.500, 0.000, 0.500), Ti at (0.500, 0.500, 0.000), N at (0.258, 0.500, 0.248) and N at (0.263, 0.000, 0.759).


Record 8
# Zr2ScTiN

A geometry-optimized Zr2ScTiN structure (PBE, Alexandria via LeMat-Bulk).

The calculation puts the offset from the most stable computed form at 32 meV per atom.

It has space group P4/mmm (No. 123), with a = 4.557 Å, b = 4.557 Å, c = 4.353 Å, α = 90.00°, β = 90.00° and γ = 90.00°. The asymmetric unit holds Zr at (0.000, 0.500, 0.000), Sc at (0.000, 0.000, 0.500), Ti at (0.500, 0.500, 0.500) and N at (0.000, 0.000, 0.000).


Formation energy from raw total energies values, unit eV/f.u., following the record order: -14.360, -1.360, -13.949, -21.274, -3.474, -3.365, -13.859, -3.315.
Electronic total energy values, unit eV per atom, following the record order: -9.086, -9.964, -9.740, -9.677, -8.624, -8.472, -9.810, -8.593.